[1]
The following is a GGA-PBE calculation of a geometry-optimized MnRuCl3 structure, from the Alexandria database.

Calculated values
Its volume is 96.4 Å³/cell. The relative energy among the computed polymorphs is 622.6 meV per atom.

CIF file:
```
data_MnRuCl3
_space_group_name_H-M_alt 'P m -3 m'
_space_group_IT_number 221
_space_group_name_Hall '-P 4 2 3'
_cell_length_a 4.5858
_cell_length_b 4.5858
_cell_length_c 4.5858
_cell_angle_alpha 90.00
_cell_angle_beta 90.00
_cell_angle_gamma 90.00
loop_
_atom_site_label
_atom_site_fract_x
_atom_site_fract_y
_atom_site_fract_z
Mn1 0.0000 0.0000 0.0000
Ru1 0.5000 0.5000 0.5000
Cl1 0.0000 0.0000 0.5000
```



[2]
The following is a GGA-PBE calculation of a geometry-optimized TcTe2SeN structure, from the Alexandria database.

Calculated values
Its volume is 112.3 Å³/cell. The relative energy among the computed polymorphs is 1038.0 meV per atom.

CIF file:
```
data_TcTe2SeN
_space_group_name_H-M_alt 'P 4/m m m'
_space_group_IT_number 123
_space_group_name_Hall '-P 4 2'
_cell_length_a 5.5723
_cell_length_b 5.5723
_cell_length_c 3.6154
_cell_angle_alpha 90.00
_cell_angle_beta 90.00
_cell_angle_gamma 90.00
loop_
_atom_site_label
_atom_site_fract_x
_atom_site_fract_y
_atom_site_fract_z
Tc1 0.0000 0.0000 0.0000
Te1 0.0000 0.5000 0.5000
Se1 0.5000 0.5000 0.5000
N1 0.5000 0.5000 0.0000
```



| no. | ΔE_f (raw) (eV/atom) |
| --- | --- |
| 1 | 0.807 |
| 2 | 1.377 |